[1]
## Th4CoTcSe2 (GGA-PBE)

Data for a relaxed structure of Th4CoTcSe2.

Values from the calculation:
Total DFT energy (no corrections) in eV per cell: -61.15
Symmetry: No. 10
Magnetization in μB/f.u.: 0.00
ΔE_f (raw) in eV/atom: -0.88

```
Th4CoTcSe2
1.0
-0.075 -3.450 -2.127
4.781 -2.767 4.319
-7.027 -1.614 2.864
Th Co Tc Se
4 1 1 2
Cartesian
-0.385 -2.703 0.535 Th
-1.937 -5.127 4.520 Th
-4.261 -1.988 3.374 Th
2.014 -2.392 3.809 Th
0.000 0.000 0.000 Co
2.353 -3.109 1.096 Tc
-3.551 -2.532 0.368 Se
-1.123 -2.190 3.591 Se
```

[2]
## HgIrSeN2 (GGA-PBE)

Data for a relaxed structure of HgIrSeN2.

Values from the calculation:
Total DFT energy (no corrections) in eV per cell: -25.40
Offset from the most stable computed form in meV/atom: 0
Symmetry: No. 123
Magnetization in μB/f.u.: 0.00
ΔE_f (raw) in eV/atom: 0.78

```
HgIrSeN2
1.0
3.839 0.000 0.000
0.000 3.839 0.000
0.000 0.000 5.662
Ir Hg Se N
1 1 1 2
Cartesian
0.000 0.000 0.000 Ir
1.920 1.920 2.831 Hg
0.000 0.000 2.831 Se
0.000 1.920 0.000 N
1.920 0.000 0.000 N
```

[3]
## PmCoSn2 (GGA-PBE)

Data for a relaxed structure of PmCoSn2.

Values from the calculation:
Total DFT energy (no corrections) in eV per cell: -21.39
Offset from the most stable computed form in meV/atom: 94
DFT formation energy in meV per atom: -382
Symmetry: No. 166
Magnetization in μB/f.u.: 0.19

```
PmCoSn2
1.0
-0.090 -4.298 -0.750
0.290 -2.803 3.332
-5.405 -2.339 1.360
Co Sn Pm
1 2 1
Cartesian
-2.603 -4.720 1.971 Co
-3.394 -7.083 2.909 Sn
-1.812 -2.358 1.032 Sn
0.000 0.000 0.000 Pm
```

[4]
## Tm6Pd2C (GGA-PBE)

Data for a relaxed structure of Tm6Pd2C.

Values from the calculation:
Total DFT energy (no corrections) in eV per cell: -102.82
DFT formation energy in meV per atom: -553
Symmetry: No. 14
Magnetization in μB/f.u.: 0.00

```
Tm6Pd2C
1.0
-2.775 -1.461 -5.711
-3.833 -4.882 3.110
-6.784 6.298 1.525
Tm Pd C
12 4 2
Cartesian
-2.142 1.317 -0.119 Tm
-5.402 1.770 0.738 Tm
-8.179 4.132 1.308 Tm
-7.725 -0.945 1.646 Tm
-10.361 1.597 2.103 Tm
-4.778 -1.624 -0.237 Tm
-11.250 -1.362 -0.956 Tm
-7.990 -1.815 -1.813 Tm
-5.213 -4.177 -2.384 Tm
-5.667 0.900 -2.722 Tm
-3.030 -1.642 -3.178 Tm
-8.614 1.579 -0.839 Tm
-7.402 1.860 2.775 Pd
-6.686 3.641 -1.295 Pd
-6.705 -3.686 0.219 Pd
-5.990 -1.905 -3.851 Pd
-3.304 -3.171 -1.301 C
-3.392 3.149 0.763 C
```

[5]
## TbEr3Pd12 (GGA-PBE)

Data for a relaxed structure of TbEr3Pd12.

Values from the calculation:
Total DFT energy (no corrections) in eV per cell: -94.90
DFT formation energy in meV per atom: -892
Symmetry: No. 123
Magnetization in μB/f.u.: 0.00

```
TbEr3Pd12
1.0
4.105 0.000 0.000
0.000 4.105 0.000
0.000 0.000 16.501
Tb Er Pd
1 3 12
Cartesian
0.000 0.000 0.000 Tb
0.000 0.000 4.144 Er
0.000 0.000 8.251 Er
0.000 0.000 12.357 Er
2.052 2.052 0.000 Pd
2.052 2.052 4.139 Pd
2.052 2.052 8.251 Pd
2.052 2.052 12.362 Pd
2.052 0.000 2.089 Pd
2.052 0.000 6.195 Pd
2.052 0.000 10.307 Pd
2.052 0.000 14.412 Pd
0.000 2.052 2.089 Pd
0.000 2.052 6.195 Pd
0.000 2.052 10.307 Pd
0.000 2.052 14.412 Pd
```

[6]
## Sc2SnPt6 (GGA-PBE)

Data for a relaxed structure of Sc2SnPt6.

Values from the calculation:
Total DFT energy (no corrections) in eV per cell: -59.31
DFT formation energy in meV per atom: -711
Symmetry: No. 12
Magnetization in μB/f.u.: 0.00

```
Sc2SnPt6
1.0
3.826 0.000 -0.149
0.000 7.651 0.000
-1.686 -3.825 6.109
Sc Sn Pt
2 1 6
Cartesian
1.981 3.825 1.875 Sc
0.159 0.000 4.085 Sc
0.000 0.000 0.000 Sn
0.074 1.856 2.024 Pt
2.066 -1.969 3.935 Pt
2.066 1.969 3.935 Pt
1.913 1.901 -0.075 Pt
0.074 5.794 2.024 Pt
1.913 5.750 -0.075 Pt
```

[7]
## Pu2CuAu (GGA-PBE)

Data for a relaxed structure of Pu2CuAu.

Values from the calculation:
Total DFT energy (no corrections) in eV per cell: -34.87
DFT formation energy in meV per atom: 292
Symmetry: No. 166
Magnetization in μB/f.u.: 10.00

```
Pu2CuAu
1.0
-0.136 -2.550 1.422
1.296 -0.293 2.604
-8.898 2.329 6.332
Au Cu Pu
1 1 2
Cartesian
0.000 0.000 0.000 Au
-3.869 -0.257 5.179 Cu
-6.337 1.425 4.956 Pu
-1.401 -1.939 5.402 Pu
```

[8]
## Ti2BeBr (GGA-PBE)

Data for a relaxed structure of Ti2BeBr.

Values from the calculation:
Total DFT energy (no corrections) in eV per cell: -19.84
Offset from the most stable computed form in meV/atom: 0
Symmetry: No. 225
Magnetization in μB/f.u.: 0.76
ΔE_f (raw) in eV/atom: 0.34

```
Ti2BeBr
1.0
-0.519 2.135 3.867
-0.074 4.446 0.093
-3.800 2.143 0.864
Be Br Ti
1 1 2
Cartesian
0.000 0.000 0.000 Be
-2.197 4.362 2.412 Br
-1.098 2.181 1.206 Ti
-3.295 6.543 3.618 Ti
```

[9]
## SrCdSe2Br (GGA-PBE)

Data for a relaxed structure of SrCdSe2Br.

Values from the calculation:
Total DFT energy (no corrections) in eV per cell: -12.61
Offset from the most stable computed form in meV/atom: 542
Symmetry: No. 123
Magnetization in μB/f.u.: 2.41
ΔE_f (raw) in eV/atom: -0.28

```
SrCdSe2Br
1.0
6.015 0.000 0.000
0.000 6.015 0.000
0.000 0.000 5.837
Sr Se Br Cd
1 2 1 1
Cartesian
0.000 0.000 0.000 Sr
0.000 3.008 0.000 Se
3.008 0.000 0.000 Se
0.000 0.000 2.918 Br
3.008 3.008 2.918 Cd
```

[10]
## MgRePb2 (GGA-PBE)

Data for a relaxed structure of MgRePb2.

Values from the calculation:
Total DFT energy (no corrections) in eV per cell: -18.58
DFT formation energy in meV per atom: 720
Symmetry: No. 65
Magnetization in μB/f.u.: 0.00

```
MgRePb2
1.0
-0.557 -2.324 -2.089
3.072 0.625 0.498
0.171 -7.056 7.802
Mg Pb Re
1 2 1
Cartesian
1.385 -6.141 5.056 Mg
0.006 -0.236 0.261 Pb
0.080 -3.292 3.641 Pb
1.300 -2.613 1.155 Re
```

[11]
## CuSiBRh2 (GGA-PBE)

Data for a relaxed structure of CuSiBRh2.

Values from the calculation:
Total DFT energy (no corrections) in eV per cell: -25.70
Symmetry: No. 123
Magnetization in μB/f.u.: 0.25
ΔE_f (raw) in eV/atom: 1.04

```
CuSiBRh2
1.0
-0.551 4.244 1.658
-4.003 -1.249 1.866
1.692 -0.950 2.994
Si B Rh Cu
1 1 2 1
Cartesian
-1.431 1.022 3.259 Si
0.846 -0.475 1.497 B
-2.001 -0.624 0.933 Rh
-0.276 2.122 0.829 Rh
0.000 0.000 0.000 Cu
```

[12]
## CsBBr2 (GGA-PBE)

Data for a relaxed structure of CsBBr2.

Values from the calculation:
Total DFT energy (no corrections) in eV per cell: -10.53
Offset from the most stable computed form in meV/atom: 141
Symmetry: No. 166
Magnetization in μB/f.u.: 0.00
ΔE_f (raw) in eV/atom: 0.09

```
CsBBr2
1.0
-3.403 -5.861 6.089
-4.600 -7.802 0.992
0.503 -8.540 3.134
Cs B Br
1 1 2
Cartesian
-3.750 -11.101 5.108 Cs
0.000 0.000 0.000 B
-0.715 -2.116 0.974 Br
-6.785 -20.087 9.242 Br
```